First-principles (PBE) data for FeRe3Ge after structural relaxation, as listed in Alexandria via LeMat-Bulk.

The value obtained for the energy is -39.6 eV for the cell shown.

The structure belongs to space group Pm-3m (No. 221); the cell edges are 4.4708, 4.4708 and 4.4708 Å and the angles 90.00°, 90.00° and 90.00°. The distinct sites, in fractional coordinates, are Fe at (0.0000, 0.0000, 0.0000), Re at (0.0000, 0.5000, 0.5000) and Ge at (0.5000, 0.5000, 0.5000).